1.
{
  "formula": "TiV4CuO12",
  "functional": "PBEsol",
  "state": "relaxed",
  "cell": [[4.957, -4.432, 0.000], [4.957, 4.432, 0.000], [-1.969, 0.000, 5.415]],
  "species": ["Ti", "V", "V", "V", "V", "Cu", "O", "O", "O", "O", "O", "O", "O", "O", "O", "O", "O", "O"],
  "fractional_positions": [[0.000, 0.000, 0.000], [0.283, 0.301, 0.496], [0.473, 0.127, 0.010], [0.699, 0.717, 0.504], [0.873, 0.527, 0.990], [0.178, 0.822, 0.500], [0.046, 0.719, 0.086], [0.115, 0.099, 0.364], [0.159, 0.531, 0.508], [0.281, 0.954, 0.914], [0.418, 0.287, 0.801], [0.461, 0.275, 0.304], [0.469, 0.841, 0.492], [0.713, 0.582, 0.199], [0.717, 0.011, 0.021], [0.725, 0.539, 0.696], [0.901, 0.885, 0.636], [0.989, 0.283, 0.979]],
  "e_form_raw_ev_per_fu": -40.40,
  "energy_ev_per_fu": -154.58
}

---

2.
{
  "formula": "Y2Ti12Cu9O36",
  "functional": "PBEsol",
  "state": "relaxed",
  "cell": [[10.389, 0.000, 0.000], [-5.195, 8.997, 0.000], [0.000, 0.000, 6.380]],
  "species": ["Y", "Y", "Ti", "Ti", "Ti", "Ti", "Ti", "Ti", "Ti", "Ti", "Ti", "Ti", "Ti", "Ti", "Cu", "Cu", "Cu", "Cu", "Cu", "Cu", "Cu", "Cu", "Cu", "O", "O", "O", "O", "O", "O", "O", "O", "O", "O", "O", "O", "O", "O", "O", "O", "O", "O", "O", "O", "O", "O", "O", "O", "O", "O", "O", "O", "O", "O", "O", "O", "O", "O", "O", "O"],
  "fractional_positions": [[0.333, 0.667, 0.171], [0.667, 0.333, 0.829], [0.000, 0.000, 0.000], [0.000, 0.500, 0.000], [0.158, 0.319, 0.338], [0.161, 0.842, 0.338], [0.319, 0.161, 0.662], [0.333, 0.667, 0.660], [0.500, 0.000, 0.000], [0.500, 0.500, 0.000], [0.667, 0.333, 0.340], [0.681, 0.839, 0.338], [0.839, 0.158, 0.662], [0.842, 0.681, 0.662], [0.000, 0.500, 0.500], [0.169, 0.337, 0.840], [0.169, 0.831, 0.840], [0.337, 0.169, 0.160], [0.500, 0.000, 0.500], [0.500, 0.500, 0.500], [0.663, 0.831, 0.840], [0.831, 0.169, 0.160], [0.831, 0.663, 0.160], [0.015, 0.165, 0.169], [0.045, 0.270, 0.591], [0.075, 0.450, 0.251], [0.119, 0.707, 0.088], [0.150, 0.985, 0.169], [0.165, 0.150, 0.831], [0.177, 0.527, 0.855], [0.192, 0.683, 0.483], [0.225, 0.955, 0.591], [0.270, 0.225, 0.409], [0.293, 0.412, 0.088], [0.317, 0.509, 0.483], [0.350, 0.823, 0.855], [0.375, 0.925, 0.251], [0.412, 0.119, 0.912], [0.450, 0.375, 0.749], [0.473, 0.650, 0.855], [0.491, 0.808, 0.483], [0.509, 0.192, 0.517], [0.527, 0.350, 0.145], [0.550, 0.625, 0.251], [0.588, 0.881, 0.088], [0.625, 0.075, 0.749], [0.650, 0.177, 0.145], [0.683, 0.491, 0.517], [0.707, 0.588, 0.912], [0.730, 0.775, 0.591], [0.775, 0.045, 0.409], [0.808, 0.317, 0.517], [0.823, 0.473, 0.145], [0.835, 0.850, 0.169], [0.850, 0.015, 0.831], [0.881, 0.293, 0.912], [0.925, 0.550, 0.749], [0.955, 0.730, 0.409], [0.985, 0.835, 0.831]],
  "e_form_raw_ev_per_fu": -137.32,
  "energy_ev_per_fu": -478.81
}

---

| no. | density (Mg/m³) |
| --- | --- |
| 1 | 3.540 |
| 2 | 5.291 |